A plane-wave DFT calculation with PBE-GGA was carried out for a relaxed Be2AlSe crystal.

Unit cell a=4.328 b=4.328 c=3.241 alpha=90.00 beta=90.00 gamma=109.66
Fractional positions:
Be (0.000, 0.000, 0.000)
Be (0.500, 0.500, 0.000)
Al (0.000, 0.500, 0.500)
Se (0.500, 0.000, 0.500)

Results
* offset from the most stable computed form: 34.8 kJ/mol of atoms
* E: -3.24 eV/atom
* energy relative to the elements, uncorrected: 1.73 eV/f.u.
* calculated volume: 14.30 Å³/atom
* space group: Cmmm

***

A plane-wave DFT calculation with PBE-GGA was carried out for a relaxed Be2AlSe crystal.

Unit cell a=6.766 b=6.766 c=6.766 alpha=27.90 beta=27.90 gamma=27.90
Fractional positions:
Se (0.250, 0.250, 0.250)
Be (0.512, 0.512, 0.512)
Be (0.988, 0.988, 0.988)
Al (0.750, 0.750, 0.750)

Results
* offset from the most stable computed form: 13.5 kJ/mol of atoms
* E: -3.46 eV/atom
* energy relative to the elements, uncorrected: 0.85 eV/f.u.
* calculated volume: 14.97 Å³/atom
* space group: R-3m

***

A plane-wave DFT calculation with PBE-GGA was carried out for a relaxed Be2AlSe crystal.

Unit cell a=5.480 b=5.480 c=5.480 alpha=145.32 beta=141.23 gamma=52.98
Fractional positions:
Se (0.445, 0.445, 0.000)
Be (0.066, 0.066, 0.000)
Be (0.258, 0.758, 0.500)
Al (0.731, 0.231, 0.500)

Results
* offset from the most stable computed form: 23.3 kJ/mol of atoms
* E: -3.36 eV/atom
* energy relative to the elements, uncorrected: 1.25 eV/f.u.
* calculated volume: 14.57 Å³/atom
* space group: Imm2

***

A plane-wave DFT calculation with PBE-GGA was carried out for a relaxed Be2AlSe crystal.

Unit cell a=4.320 b=4.320 c=4.320 alpha=60.00 beta=60.00 gamma=60.00
Fractional positions:
Be (0.000, 0.000, 0.000)
Be (0.250, 0.250, 0.250)
Se (0.750, 0.750, 0.750)
Al (0.500, 0.500, 0.500)

Results
* offset from the most stable computed form: 58.9 kJ/mol of atoms
* E: -2.99 eV/atom
* energy relative to the elements, uncorrected: 2.73 eV/f.u.
* calculated volume: 14.25 Å³/atom
* space group: F-43m

***

A plane-wave DFT calculation with PBE-GGA was carried out for a relaxed Be2AlSe crystal.

Unit cell a=3.191 b=3.191 c=7.035 alpha=90.00 beta=90.00 gamma=117.83
Fractional positions:
Al (0.500, 0.500, 0.750)
Se (0.500, 0.500, 0.250)
Be (0.000, 0.000, 0.027)
Be (0.000, 0.000, 0.473)

Results
* offset from the most stable computed form: 38.3 kJ/mol of atoms
* E: -3.20 eV/atom
* energy relative to the elements, uncorrected: 1.88 eV/f.u.
* calculated volume: 15.83 Å³/atom
* space group: Cmmm

***

A plane-wave DFT calculation with PBE-GGA was carried out for a relaxed Be2AlSe crystal.

Unit cell a=3.452 b=3.417 c=5.681 alpha=72.60 beta=90.00 gamma=90.00
Fractional positions:
Se (0.000, 0.231, 0.413)
Be (0.000, 0.863, 0.149)
Be (0.500, 0.379, 0.119)
Al (0.500, 0.028, 0.819)

Results
* offset from the most stable computed form: 5.1 kJ/mol of atoms
* E: -3.54 eV/atom
* energy relative to the elements, uncorrected: 0.50 eV/f.u.
* calculated volume: 15.99 Å³/atom
* space group: Pm

***

A plane-wave DFT calculation with PBE-GGA was carried out for a relaxed BeAl3Se crystal.

Unit cell a=4.468 b=4.468 c=4.468 alpha=90.00 beta=90.00 gamma=90.00
Fractional positions:
Al (0.500, 0.000, 0.000)
Al (0.000, 0.000, 0.500)
Al (0.000, 0.500, 0.000)
Be (0.000, 0.000, 0.000)
Se (0.500, 0.500, 0.500)

Results
* offset from the most stable computed form: 0.0 kJ/mol of atoms
* E: -3.54 eV/atom
* energy relative to the elements, uncorrected: 0.73 eV/f.u.
* calculated volume: 17.84 Å³/atom
* space group: Pm-3m

***

A plane-wave DFT calculation with PBE-GGA was carried out for a relaxed Be2AlSe crystal.

Unit cell a=5.695 b=5.695 c=6.086 alpha=62.10 beta=62.10 gamma=90.00
Fractional positions:
Be (0.875, 0.911, 0.750)
Be (0.089, 0.625, 0.250)
Be (0.375, 0.339, 0.750)
Be (0.661, 0.125, 0.250)
Se (0.750, 0.250, 0.500)
Se (0.000, 0.000, 0.000)
Al (0.250, 0.750, 0.500)
Al (0.500, 0.500, 0.000)

Results
* offset from the most stable computed form: 17.3 kJ/mol of atoms
* E: -3.42 eV/atom
* energy relative to the elements, uncorrected: 1.01 eV/f.u.
* calculated volume: 18.50 Å³/atom
* space group: I-42d